(1)
Here is a PBEsol-optimized structure of ZrReAu3 from the Alexandria database. Energies are from SCAN.

The calculation puts the total energy at -60.19 eV per atom. The crystal system is cubic. The formation energy is 1658 meV/atom. The spin magnetization is 5.30 μB per formula unit.

a b c (Å): 5.0459 5.0459 5.0459
angles (deg): 90.00 90.00 90.00
Closest atoms and distances in Å follow each position.
Space group Pm-3m (No. 221)
Unique sites:
1 Zr 0.0000 0.0000 0.0000  6 Au 2.52
2 Re 0.5000 0.5000 0.5000  12 Au 3.57
3 Au 0.0000 0.0000 0.5000  2 Zr 2.52

(2)
Here is a PBEsol-optimized structure of Rh2Au from the Alexandria database. Energies are from SCAN.

Its polymorph energy (0 for the lowest one) is 149 meV/atom. The calculation puts the total energy at -45.30 eV per atom. The crystal system is hexagonal. The formation energy is 267 meV/atom. The spin magnetization is 0.00 μB per formula unit.

a b c (Å): 4.3861 4.3861 2.6809
angles (deg): 90.00 90.00 120.00
Closest atoms and distances in Å follow each position.
Space group P6/mmm (No. 191)
Unique sites:
1 Rh 0.3333 0.6667 0.0000  5 Rh 2.53-2.68
2 Au 0.0000 0.0000 0.5000  2 Au 2.68, 12 Rh 2.87

(3)
Here is a PBEsol-optimized structure of RhAu2 from the Alexandria database. Energies are from SCAN.

The calculation puts the total energy at -57.22 eV per atom. The crystal system is tetragonal. The formation energy is 138 meV/atom. The spin magnetization is 0.88 μB per formula unit.

a b c (Å): 2.7938 2.7938 12.1230
angles (deg): 90.00 90.00 90.00
Closest atoms and distances in Å follow each position.
Space group I4/mmm (No. 139)
Unique sites:
1 Rh 0.0000 0.0000 0.0000  8 Au 2.79, 4 Rh 2.79
2 Au 0.0000 0.0000 0.3380  4 Rh 2.79, 8 Au 2.79-2.91

(4)
Here is a PBEsol-optimized structure of RhAu5 from the Alexandria database. Energies are from SCAN.

Its polymorph energy (0 for the lowest one) is 304 meV/atom. The calculation puts the total energy at -62.87 eV per atom. The crystal system is cubic. The formation energy is 391 meV/atom. The spin magnetization is 0.00 μB per formula unit.

a b c (Å): 7.4966 7.4966 7.4966
angles (deg): 90.00 90.00 90.00
Closest atoms and distances in Å follow each position.
Space group F-43m (No. 216)
Unique sites:
1 Rh 0.0000 0.0000 0.0000  16 Au 3.11-3.25
2 Au 0.1251 0.1251 0.6251  6 Au 2.65
3 Au 0.2500 0.2500 0.2500  12 Au 3.11, 4 Rh 3.25

(5)
Here is a PBEsol-optimized structure of RhAu8 from the Alexandria database. Energies are from SCAN.

The calculation puts the total energy at -65.17 eV per atom. The crystal system is tetragonal. The formation energy is 55 meV/atom. The spin magnetization is 0.00 μB per formula unit.

a b c (Å): 8.5124 8.5124 4.0982
angles (deg): 90.00 90.00 90.00
Closest atoms and distances in Å follow each position.
Space group I4/mmm (No. 139)
Unique sites:
1 Rh 0.0000 0.0000 0.0000  12 Au 2.82-2.85
2 Au 0.0000 0.3308 0.0000  1 Rh 2.82, 11 Au 2.86-2.89
3 Au 0.1642 0.1642 0.5000  10 Au 2.80-2.91, 2 Rh 2.85

(6)
Here is a PBEsol-optimized structure of RhAu7 from the Alexandria database. Energies are from SCAN.

The calculation puts the total energy at -64.66 eV per atom. The crystal system is cubic. The formation energy is 70 meV/atom. The spin magnetization is 0.00 μB per formula unit.

a b c (Å): 8.0716 8.0716 8.0716
angles (deg): 90.00 90.00 90.00
Closest atoms and distances in Å follow each position.
Space group Fm-3m (No. 225)
Unique sites:
1 Rh 0.0000 0.0000 0.0000  12 Au 2.85
2 Au 0.0000 0.0000 0.5000  12 Au 2.85
3 Au 0.0000 0.2500 0.2500  2 Rh 2.85, 10 Au 2.85

(7)
Here is a PBEsol-optimized structure of RhAu3 from the Alexandria database. Energies are from SCAN.

The calculation puts the total energy at -60.19 eV per atom. The crystal system is tetragonal. The formation energy is 124 meV/atom. The spin magnetization is 0.79 μB per formula unit.

a b c (Å): 3.2490 3.2490 6.1154
angles (deg): 90.00 90.00 90.00
Closest atoms and distances in Å follow each position.
Space group P4/mmm (No. 123)
Unique sites:
1 Rh 0.0000 0.0000 0.0000  8 Au 2.72
2 Au 0.0000 0.0000 0.5000  8 Au 2.80, 2 Rh 3.06
3 Au 0.5000 0.5000 0.2395  4 Rh 2.72, 5 Au 2.80-2.93

(8)
Here is a PBEsol-optimized structure of Rh2Au from the Alexandria database. Energies are from SCAN.

Its polymorph energy (0 for the lowest one) is 0 meV/atom. The calculation puts the total energy at -45.45 eV per atom. The crystal system is tetragonal. The formation energy is 117 meV/atom. The spin magnetization is 0.00 μB per formula unit.

a b c (Å): 2.7432 2.7432 11.6765
angles (deg): 90.00 90.00 90.00
Closest atoms and distances in Å follow each position.
Space group I4/mmm (No. 139)
Unique sites:
1 Rh 0.0000 0.0000 0.1756  8 Rh 2.60-2.74, 4 Au 2.82
2 Au 0.0000 0.0000 0.5000  4 Au 2.74, 8 Rh 2.82